Entry from the Alexandria database: crystalline Tb2TmTa at its relaxed geometry (PBE-GGA).

Geometry as POSCAR:
```
Tb2TmTa
1.0
1.634 0.944 11.603
-1.634 0.944 11.603
0.000 -1.887 11.603
Tb Tm Ta
2 1 1
direct
0.084 0.084 0.084
0.916 0.916 0.916
0.500 0.500 0.500
0.000 0.000 0.000
```

Results
Its formation energy is 0.5922 eV per atom. The density of states at the Fermi level comes out at 1.2954 states/eV/atom.

***

Entry from the Alexandria database: crystalline Zr4SbPb at its relaxed geometry (PBE-GGA).

Geometry as POSCAR:
```
Zr4SbPb
1.0
3.992 -6.463 0.000
3.992 6.463 0.000
-2.109 0.000 5.497
Zr Sb Pb
8 2 2
direct
0.101 0.713 0.940
0.198 0.403 0.638
0.287 0.899 0.560
0.403 0.198 0.138
0.597 0.802 0.862
0.713 0.101 0.440
0.802 0.597 0.362
0.899 0.287 0.060
0.007 0.993 0.250
0.993 0.007 0.750
0.392 0.608 0.250
0.608 0.392 0.750
```

Results
Its formation energy from raw total energies is -28 kJ per mole of atoms. The density of states at the Fermi level comes out at 0.7938 states/eV/atom. The calculation puts the distance to the lowest polymorph of the same formula at 0.000 eV/atom.

***

Number 1: calculated volume 107.3 Å³ per cell, density 10.330 g/cm³. Number 2: calculated volume 283.6 Å³ per cell, density 8.125 g/cm³.